GeMoS2N | GGA-PBEsol | optimized geometry

Unit cell a=3.4908 b=4.7491 c=4.7491 alpha=90.00 beta=90.00 gamma=90.00
Last column: magnetic moment on the atom in μB.
Positions (direct):
Mo (0.5000, 0.5000, 0.5000)  2.92
S (0.0000, 0.5000, 0.0000)  -0.12
Ge (0.0000, 0.0000, 0.0000)  0.04
S (0.0000, 0.0000, 0.5000)  -0.12
N (0.5000, 0.0000, 0.0000)  -0.16

* final energy: -5.885 eV/atom
* N(E_F): 3.82 states/eV/f.u.
* volume: 15.75 Å³ per atom


NaZrIrSe2 | GGA-PBEsol | optimized geometry

Unit cell a=4.8296 b=5.1091 c=5.1091 alpha=90.00 beta=90.00 gamma=90.00
Last column: magnetic moment on the atom in μB.
Positions (direct):
Ir (0.0000, 0.0000, 0.0000)  -0.05
Se (0.0000, 0.0000, 0.5000)  -0.05
Na (0.5000, 0.5000, 0.5000)  0.01
Se (0.0000, 0.5000, 0.0000)  -0.05
Zr (0.5000, 0.0000, 0.0000)  0.59

* final energy: -5.377 eV/atom
* N(E_F): 5.61 states/eV/f.u.
* volume: 25.21 Å³ per atom


YBe3Cd | GGA-PBEsol | optimized geometry

Unit cell a=4.9440 b=4.9440 c=4.9440 alpha=90.00 beta=90.00 gamma=90.00
Last column: magnetic moment on the atom in μB.
Positions (direct):
Be (0.0000, 0.5000, 0.0000)  0.06
Cd (0.5000, 0.5000, 0.5000)  0.00
Be (0.0000, 0.0000, 0.5000)  0.06
Y (0.0000, 0.0000, 0.0000)  0.36
Be (0.5000, 0.0000, 0.0000)  0.06

* calculated formation energy: 1.8707 eV per atom
* N(E_F): 5.91 states/eV/f.u.
* volume: 24.17 Å³ per atom


MgBeMo3 | GGA-PBEsol | optimized geometry

Unit cell a=4.2558 b=4.2558 c=4.2558 alpha=90.00 beta=90.00 gamma=90.00
Positions (direct):
Mg (0.5000, 0.5000, 0.5000)
Be (0.0000, 0.0000, 0.0000)
Mo (0.0000, 0.0000, 0.5000)
Mo (0.5000, 0.0000, 0.0000)
Mo (0.0000, 0.5000, 0.0000)

* calculated formation energy: 0.8535 eV per atom
* N(E_F): 5.95 states/eV/f.u.
* volume: 15.42 Å³ per atom


ZrRe2Hg | GGA-PBEsol | optimized geometry

Unit cell a=3.4599 b=3.4599 c=5.8584 alpha=90.00 beta=90.00 gamma=90.00
Positions (direct):
Zr (0.5000, 0.5000, 0.0000)
Re (0.0000, 0.0000, 0.7774)
Hg (0.5000, 0.5000, 0.5000)
Re (0.0000, 0.0000, 0.2226)

* calculated formation energy: 0.4413 eV per atom
* N(E_F): 2.19 states/eV/f.u.
* volume: 17.53 Å³ per atom


Cs | GGA-PBEsol | optimized geometry

Unit cell a=5.1890 b=5.1780 c=5.1780 alpha=110.55 beta=108.92 gamma=108.92
Positions (direct):
Cs (0.5000, 0.0000, 0.0000)

* calculated formation energy: 0.0010 eV per atom
* N(E_F): 1.27 states/eV/f.u.
* volume: 107.10 Å³ per atom


GeRh3Se | GGA-PBEsol | optimized geometry

Unit cell a=4.5107 b=4.5107 c=4.5107 alpha=90.00 beta=90.00 gamma=90.00
Positions (direct):
Rh (0.0000, 0.0000, 0.5000)
Rh (0.0000, 0.5000, 0.0000)
Se (0.0000, 0.0000, 0.0000)
Ge (0.5000, 0.5000, 0.5000)
Rh (0.5000, 0.0000, 0.0000)

* final energy: -6.017 eV/atom
* N(E_F): 7.79 states/eV/f.u.
* volume: 18.36 Å³ per atom


CdPtCl | GGA-PBEsol | optimized geometry

Unit cell a=3.0509 b=4.4649 c=4.4649 alpha=120.00 beta=90.00 gamma=90.00
Positions (direct):
Cl (0.4626, 0.6667, 0.3333)
Cd (0.9992, 0.0000, 0.0000)
Pt (0.5383, 0.3333, 0.6667)

* final energy: -3.314 eV/atom
* N(E_F): 0.79 states/eV/f.u.
* volume: 17.56 Å³ per atom


NaAsSe2Br | GGA-PBEsol | optimized geometry

Unit cell a=4.9107 b=4.9107 c=5.3561 alpha=90.00 beta=90.00 gamma=90.00
Positions (direct):
Br (0.5000, 0.5000, 0.5000)
Se (0.0000, 0.5000, 0.0000)
Se (0.5000, 0.0000, 0.0000)
As (0.0000, 0.0000, 0.5000)
Na (0.0000, 0.0000, 0.0000)

* final energy: -2.337 eV/atom
* N(E_F): 6.82 states/eV/f.u.
* volume: 25.83 Å³ per atom


ZrAg2Hg | GGA-PBEsol | optimized geometry

Unit cell a=4.7055 b=4.7101 c=4.7055 alpha=119.97 beta=90.00 gamma=119.97
Positions (direct):
Ag (0.7500, 0.5000, 0.2500)
Hg (0.5000, 0.0000, 0.5000)
Ag (0.0000, 0.0000, 0.0000)
Zr (0.2500, 0.5000, 0.7500)

* calculated formation energy: -0.1364 eV per atom
* N(E_F): 1.68 states/eV/f.u.
* volume: 18.45 Å³ per atom


Ca2LaSc | GGA-PBEsol | optimized geometry

Unit cell a=3.6989 b=3.6989 c=9.9649 alpha=90.00 beta=90.00 gamma=90.00
Positions (direct):
Sc (0.0000, 0.0000, 0.2619)
La (0.5000, 0.5000, 0.4675)
Ca (0.0000, 0.0000, 0.7422)
Ca (0.5000, 0.5000, 0.0285)

* calculated formation energy: 0.0901 eV per atom
* N(E_F): 4.98 states/eV/f.u.
* volume: 34.08 Å³ per atom


AgPb2 | GGA-PBEsol | optimized geometry

Unit cell a=9.4896 b=9.4896 c=9.4896 alpha=60.00 beta=60.00 gamma=60.00
Positions (direct):
Pb (0.6887, 0.3113, 0.6887)
Pb (0.9387, 0.5613, 0.9387)
Pb (0.1250, 0.1250, 0.1250)
Pb (0.5613, 0.9387, 0.5613)
Pb (0.3113, 0.6887, 0.3113)
Pb (0.1250, 0.1250, 0.6250)
Pb (0.6887, 0.3113, 0.3113)
Pb (0.5613, 0.9387, 0.9387)
Ag (0.3342, 0.3342, 0.3342)
Ag (0.9158, 0.9158, 0.2527)
Pb (0.1250, 0.6250, 0.1250)
Pb (0.9387, 0.9387, 0.5613)
Ag (0.3342, 0.9973, 0.3342)
Pb (0.5613, 0.5613, 0.9387)
Ag (0.9973, 0.3342, 0.3342)
Ag (0.9158, 0.2527, 0.9158)
Ag (0.2527, 0.9158, 0.9158)
Pb (0.9387, 0.5613, 0.5613)
Pb (0.6250, 0.1250, 0.1250)
Ag (0.9158, 0.9158, 0.9158)
Ag (0.3342, 0.3342, 0.9973)
Pb (0.6887, 0.6887, 0.3113)
Pb (0.3113, 0.6887, 0.6887)
Pb (0.3113, 0.3113, 0.6887)

* calculated formation energy: 0.0985 eV per atom
* N(E_F): 1.40 states/eV/f.u.
* volume: 25.18 Å³ per atom


We obtain spin magnetization values of 2.8; 0.8; 0.8; 0.0; 0.0; 0.0; 0.0; 0.0; 0.0; 0.0; 0.0; 0.0 μB/f.u. for the records listed above, in that order.